Entry from Alexandria: a relaxed structure of Cs2BiBr2F4 (GGA-PBE).

Calculated values
ΔE_f (raw): -2.0270 eV per atom
Calculated volume: 27.565 Å³/atom

Cell: 7.6039 7.6039 8.5814 Å, 90.00 90.00 90.00°
Last column: nearest neighbours and their distance in Å.
Space group I4/mmm (No. 139)
Symmetry-distinct sites (fractional):
Cs: 0.0000 0.5000 0.2500 x4  8 F 3.47, 4 Br 3.85
Bi: 0.0000 0.0000 0.0000 x2  4 F 2.20
Br: 0.0000 0.0000 0.3225 x4  1 Bi 2.77, 1 Br 3.05
F: 0.2045 0.2045 0.0000 x8  1 Bi 2.20

***

Entry from Alexandria: a relaxed structure of Y6ThTe8 (GGA-PBE).

Calculated values
ΔE_f (raw): -1.3283 eV per atom
Calculated volume: 31.057 Å³/atom

Cell: 12.3056 12.3056 12.3056 Å, 90.00 90.00 90.00°
Last column: nearest neighbours and their distance in Å.
Space group Fm-3m (No. 225)
Symmetry-distinct sites (fractional):
Y: 0.0000 0.2500 0.2500 x24  6 Te 3.08
Th: 0.0000 0.0000 0.0000 x4  6 Te 3.22
Te: 0.0000 0.0000 0.2618 x24  4 Y 3.08, 1 Th 3.22
Te: 0.2500 0.2500 0.2500 x8  6 Y 3.08

***

Entry from Alexandria: a relaxed structure of DyPu2Te2Se2 (GGA-PBE).

Calculated values
ΔE_f (raw): -1.1184 eV per atom
Calculated volume: 31.995 Å³/atom

Cell: 5.3217 5.3217 15.8164 Å, 90.00 90.00 90.00°
Last column: nearest neighbours and their distance in Å.
Space group I4/mmm (No. 139)
Symmetry-distinct sites (fractional):
Dy: 0.0000 0.0000 0.0000 x2  4 Se 2.66
Pu: 0.0000 0.0000 0.3820 x4  1 Te 3.06, 4 Se 3.25
Te: 0.0000 0.0000 0.1886 x4  1 Dy 2.98, 1 Pu 3.06
Se: 0.0000 0.5000 0.0000 x4  2 Dy 2.66

***

- Look up the ΔE_f (raw) of the first one.
  -2.0270 eV per atom

***

- Which value of calculated volume does entry 3 give?
  31.995 Å³/atom

***

- ΔE_f (raw) of number 2 (Y6ThTe8)?
  -1.3283 eV per atom